[1]
Na3NbCu2S6: optimized geometry, PBE.

Output
Energy ... -4.570 eV/atom
Crystal system ... monoclinic
E_form (uncorrected) ... -7.9 eV per formula unit
Magnetization ... 0.0 μB per cell
V ... 227.9 Å³ per cell

abc: 6.465 6.465 6.805
angles: 97.77 97.77 123.31
Sites, in units of the cell vectors:
Na (0.175, 0.825, 0.500)
Na (0.825, 0.175, 0.500)
Na (0.500, 0.500, 0.500)
Nb (0.000, 0.000, 0.000)
Cu (0.343, 0.657, 0.000)
Cu (0.657, 0.343, 0.000)
S (0.912, 0.589, 0.804)
S (0.759, 0.759, 0.225)
S (0.088, 0.411, 0.196)
S (0.589, 0.912, 0.804)
S (0.241, 0.241, 0.775)
S (0.411, 0.088, 0.196)

***

[2]
BeAgRh2: optimized geometry, PBE.

Output
Energy ... -5.365 eV/atom
DFT formation energy ... -0.0449 eV/atom
Crystal system ... orthorhombic
Magnetization ... 0.0 μB per cell
V ... 55.3 Å³ per cell

abc: 2.708 2.708 8.415
angles: 90.00 90.00 116.34
Sites, in units of the cell vectors:
Be (0.500, 0.500, 0.750)
Rh (0.000, 0.000, 0.956)
Rh (0.000, 0.000, 0.544)
Ag (0.500, 0.500, 0.250)

***

[3]
Ac3Zn3Cu2: optimized geometry, PBE.

Output
Energy ... -3.274 eV/atom
DFT formation energy ... -0.2318 eV/atom
Crystal system ... orthorhombic
Magnetization ... 0.0 μB per cell
V ... 414.3 Å³ per cell

abc: 4.505 6.086 16.265
angles: 90.00 90.00 111.72
Sites, in units of the cell vectors:
Ac (0.875, 0.750, 0.406)
Ac (0.125, 0.250, 0.906)
Ac (0.875, 0.750, 0.094)
Ac (0.125, 0.250, 0.594)
Ac (0.604, 0.208, 0.250)
Ac (0.396, 0.792, 0.750)
Zn (0.591, 0.183, 0.448)
Zn (0.409, 0.817, 0.948)
Zn (0.591, 0.183, 0.052)
Zn (0.409, 0.817, 0.552)
Zn (0.311, 0.623, 0.250)
Zn (0.689, 0.377, 0.750)
Cu (0.829, 0.658, 0.889)
Cu (0.171, 0.342, 0.389)
Cu (0.829, 0.658, 0.611)
Cu (0.171, 0.342, 0.111)

***

[4]
MgTaAs2: optimized geometry, PBE.

Output
Energy ... -5.561 eV/atom
DFT formation energy ... 0.1251 eV/atom
Crystal system ... trigonal
Magnetization ... 0.2 μB per cell
V ... 84.0 Å³ per cell

abc: 10.831 10.831 10.831
angles: 15.99 15.99 15.99
Sites, in units of the cell vectors:
As (0.018, 0.018, 0.018)
As (0.233, 0.233, 0.233)
Mg (0.498, 0.498, 0.498)
Ta (0.752, 0.752, 0.752)